Record 1
Below is a relaxed KYAg2F8 crystal, with properties calculated at the PBE-GGA level. Values from VASP.

Cell and atoms, written as Quantum ESPRESSO input:
```
&SYSTEM
  ibrav = 0, nat = 12, ntyp = 4
/
ATOMIC_SPECIES
K 39.10 K.upf
Y 88.91 Y.upf
Ag 107.87 Ag.upf
F 19.00 F.upf
ATOMIC_POSITIONS crystal
K 0.0000 0.0000 0.0000
Y 0.7500 0.2500 0.5000
Ag 0.2500 0.7500 0.5000
Ag 0.5000 0.5000 0.0000
F 0.1215 0.1346 0.5280
F 0.1215 0.5935 0.9869
F 0.4065 0.3934 0.5280
F 0.4065 0.8785 0.0131
F 0.6066 0.1346 0.0131
F 0.6066 0.5935 0.4720
F 0.8654 0.3934 0.9869
F 0.8654 0.8785 0.4720
CELL_PARAMETERS angstrom
-2.7880 2.7880 5.6840
2.7880 -2.7880 5.6840
2.7880 2.7880 -5.6840
```

Values from the calculation:
Energy relative to the elements, uncorrected in meV per atom: -2310.2
Magnetic moment in μB per formula unit: 2.1

Record 2
Below is a relaxed KYAgF5 crystal, with properties calculated at the PBE-GGA level. Values from VASP.

Cell and atoms, written as Quantum ESPRESSO input:
```
&SYSTEM
  ibrav = 0, nat = 16, ntyp = 4
/
ATOMIC_SPECIES
K 39.10 K.upf
Y 88.91 Y.upf
Ag 107.87 Ag.upf
F 19.00 F.upf
ATOMIC_POSITIONS crystal
K 0.1556 0.8444 0.7500
K 0.8444 0.1556 0.2500
Y 0.5000 0.5000 0.0000
Y 0.5000 0.5000 0.5000
Ag 0.1686 0.8314 0.2500
Ag 0.8314 0.1686 0.7500
F 0.1335 0.2593 0.9747
F 0.2060 0.5482 0.3906
F 0.2593 0.1335 0.4747
F 0.4181 0.5819 0.7500
F 0.4518 0.7940 0.1094
F 0.5482 0.2060 0.8906
F 0.5819 0.4181 0.2500
F 0.7407 0.8665 0.5253
F 0.7940 0.4518 0.6094
F 0.8665 0.7407 0.0253
CELL_PARAMETERS angstrom
3.4891 -5.4898 0.0000
3.4891 5.4898 0.0000
-1.8093 0.0000 7.9587
```

Values from the calculation:
Energy relative to the elements, uncorrected in meV per atom: -2972.5
Magnetic moment in μB per formula unit: 0.1

Record 3
Below is a relaxed KZn2AgF7 crystal, with properties calculated at the PBE-GGA level. Values from VASP.

Cell and atoms, written as Quantum ESPRESSO input:
```
&SYSTEM
  ibrav = 0, nat = 11, ntyp = 4
/
ATOMIC_SPECIES
K 39.10 K.upf
Zn 65.41 Zn.upf
Ag 107.87 Ag.upf
F 19.00 F.upf
ATOMIC_POSITIONS crystal
K 0.0000 0.0000 0.0000
Zn 0.3912 0.3912 0.0000
Zn 0.6088 0.6088 0.0000
Ag 0.7500 0.2500 0.5000
F 0.1050 0.6050 0.5000
F 0.2744 0.2744 0.0000
F 0.3950 0.8950 0.5000
F 0.5000 0.5000 0.0000
F 0.6144 0.1144 0.5000
F 0.7256 0.7256 0.0000
F 0.8856 0.3856 0.5000
CELL_PARAMETERS angstrom
-2.0623 2.0623 9.4028
2.0623 -2.0623 9.4028
2.0623 2.0623 -9.4028
```

Values from the calculation:
Energy relative to the elements, uncorrected in meV per atom: -2060.9
Magnetic moment in μB per formula unit: 0.0

Record 4
Below is a relaxed K3Zn2AgF9 crystal, with properties calculated at the PBE-GGA level. Values from VASP.

Cell and atoms, written as Quantum ESPRESSO input:
```
&SYSTEM
  ibrav = 0, nat = 15, ntyp = 4
/
ATOMIC_SPECIES
K 39.10 K.upf
Zn 65.41 Zn.upf
Ag 107.87 Ag.upf
F 19.00 F.upf
ATOMIC_POSITIONS crystal
K 0.0000 0.0000 0.0000
K 0.3333 0.6667 0.6636
K 0.6667 0.3333 0.3364
Zn 0.3333 0.6667 0.1557
Zn 0.6667 0.3333 0.8443
Ag 0.0000 0.0000 0.5000
F 0.0000 0.5000 0.0000
F 0.1749 0.3497 0.3197
F 0.1749 0.8251 0.3197
F 0.3497 0.1749 0.6803
F 0.5000 0.0000 0.0000
F 0.5000 0.5000 0.0000
F 0.6503 0.8251 0.3197
F 0.8251 0.1749 0.6803
F 0.8251 0.6503 0.6803
CELL_PARAMETERS angstrom
5.9609 0.0000 0.0000
-2.9805 5.1623 0.0000
0.0000 0.0000 7.3419
```

Values from the calculation:
Energy relative to the elements, uncorrected in meV per atom: -2306.1
Magnetic moment in μB per formula unit: 1.0

| no. | raw total energy (Ry per atom) | density of states at the Fermi level (states/eV per atom) | theoretical density (g/cm³) |
| --- | --- | --- | --- |
| 1 | -0.3427 | 0.73 | 4.66 |
| 2 | -0.4001 | 0.00 | 3.60 |
| 3 | -0.2824 | 0.24 | 4.26 |
| 4 | -0.2946 | 0.21 | 3.87 |